## CrInI2O (PBE with a Hubbard U)

Data for CrInI2O after structural relaxation.

a = 5.996 Å, b = 5.996 Å, c = 3.988 Å
α = 90.00°, β = 90.00°, γ = 90.00°
Space group P4/mmm (No. 123)
One atom of each set of equivalent atoms:
Cr  0.000  0.000  0.000 (multiplicity 1)
In  0.500  0.500  0.500 (multiplicity 1)
I  0.000  0.500  0.500 (multiplicity 2)
O  0.500  0.500  0.000 (multiplicity 1)

The crystal system is tetragonal. The raw total energy is -19.6 eV/cell. The value obtained for the energy above the most stable polymorph in this dataset is 0.349 eV per atom. The value obtained for the total magnetic moment is 5.0 Bohr magnetons per cell. For the density of states at the Fermi level, the calculation gives 0.43 states/eV/atom.